Here is an optimized crystal structure of TmHf3 from Alexandria. Energies are from PBE.

Properties
- final energy (eV per atom) = -8.53
- excess energy over the best structure of this formula in the dataset (kJ/mol of formula units) = 0
- calculated density (g cm⁻³) = 12.3
- SG = Pmm2, No. 25
- DOS(E_F) (states/eV/f.u.) = 3.0

Cell lengths 3.257, 5.128, 5.703 Å; angles 90.00, 90.00, 90.00 degrees
Atoms (fractional coordinates):
Tm: 0.000 0.000 0.000
Hf: 0.000 0.500 0.660
Hf: 0.500 0.000 0.501
Hf: 0.500 0.500 0.185